1.
The following is a DFT calculation (PBE-GGA) of a geometry-optimized GaNiIr structure.

Unit cell a=5.2249 b=3.8867 c=8.0134 alpha=90.00 beta=101.73 gamma=90.00
Last column: nearest neighbours and their distance in Å.
Fractional positions:
Ir (0.3211, 0.5000, 0.1702)  5 Ga 2.57-2.64, 5 Ni 2.62-2.74, 2 Ir 2.82
Ir (0.6789, 0.0000, 0.3298)  5 Ga 2.57-2.64, 5 Ni 2.62-2.74, 2 Ir 2.82
Ir (0.3211, 0.0000, 0.6702)  5 Ga 2.57-2.64, 5 Ni 2.62-2.74, 2 Ir 2.82
Ir (0.6789, 0.5000, 0.8298)  5 Ga 2.57-2.64, 5 Ni 2.62-2.74, 2 Ir 2.82
Ga (0.8218, 0.0000, 0.6562)  5 Ir 2.57-2.64, 5 Ni 2.59-2.72
Ga (0.8218, 0.5000, 0.1562)  5 Ir 2.57-2.64, 5 Ni 2.59-2.72
Ga (0.1782, 0.5000, 0.8438)  5 Ir 2.57-2.64, 5 Ni 2.59-2.72
Ga (0.1782, 0.0000, 0.3438)  5 Ir 2.57-2.64, 5 Ni 2.59-2.72
Ni (0.5000, 0.0000, 0.0000)  2 Ni 2.61, 6 Ir 2.62-2.65, 4 Ga 2.70
Ni (0.5000, 0.5000, 0.5000)  2 Ni 2.61, 6 Ir 2.62-2.65, 4 Ga 2.70
Ni (0.0000, 0.5000, 0.5000)  6 Ga 2.59-2.72, 2 Ni 2.61, 4 Ir 2.74
Ni (0.0000, 0.0000, 0.0000)  6 Ga 2.59-2.72, 2 Ni 2.61, 4 Ir 2.74

SG = C2/m (12)
total energy = -6.1730 eV per atom
formation energy from the elements = -0.283 eV/atom

***

2.
The following is a DFT calculation (PBE-GGA) of a geometry-optimized Ga6Ni5Ir structure.

Unit cell a=7.1058 b=4.2306 c=6.7111 alpha=71.63 beta=79.18 gamma=53.44
Last column: nearest neighbours and their distance in Å.
Fractional positions:
Ga (0.7489, 0.4230, 0.6564)  7 Ni 2.49-2.61, 1 Ir 2.62
Ga (0.2511, 0.9207, 0.6564)  7 Ni 2.49-2.61, 1 Ir 2.62
Ga (0.2619, 0.2380, 0.0000)  6 Ni 2.51-2.53, 2 Ir 2.59, 1 Ga 2.72
Ga (0.7489, 0.0793, 0.3436)  7 Ni 2.49-2.61, 1 Ir 2.62
Ga (0.7381, 0.7620, 0.0000)  6 Ni 2.51-2.53, 2 Ir 2.59, 1 Ga 2.72
Ga (0.2511, 0.5770, 0.3436)  7 Ni 2.49-2.61, 1 Ir 2.62
Ni (0.5000, 0.5000, 0.0000)  8 Ga 2.51-2.61
Ni (0.0000, 0.6605, 0.6791)  8 Ga 2.53-2.57
Ni (0.0000, 0.3395, 0.3209)  8 Ga 2.53-2.57
Ni (0.5000, 0.8325, 0.3349)  8 Ga 2.49-2.55
Ni (0.5000, 0.1675, 0.6651)  8 Ga 2.49-2.55
Ir (0.0000, 0.0000, 0.0000)  8 Ga 2.59-2.62, 2 Ni 2.85

SG = Cmmm (65)
total energy = -5.0115 eV per atom
energy relative to the lowest polymorph listed for this composition = 4.4 meV/atom
formation energy from the elements = -0.351 eV/atom

***

3.
The following is a DFT calculation (PBE-GGA) of a geometry-optimized GaNiIr3 structure.

Unit cell a=4.4723 b=4.4723 c=4.4723 alpha=90.00 beta=90.00 gamma=90.00
Last column: nearest neighbours and their distance in Å.
Fractional positions:
Ir (0.0000, 0.0000, 0.5000)  2 Ni 2.24
Ir (0.0000, 0.5000, 0.0000)  2 Ni 2.24
Ir (0.5000, 0.0000, 0.0000)  2 Ni 2.24
Ga (0.5000, 0.5000, 0.5000)  12 Ir 3.16
Ni (0.0000, 0.0000, 0.0000)  6 Ir 2.24

SG = Pm-3m (221)
total energy = -5.7200 eV per atom
energy relative to the lowest polymorph listed for this composition = 0.0 meV/atom
formation energy from the elements = 1.358 eV/atom

***

4.
The following is a DFT calculation (PBE-GGA) of a geometry-optimized GaNiIr structure.

Unit cell a=5.0372 b=4.2203 c=4.2680 alpha=89.69 beta=89.74 gamma=33.10
Last column: nearest neighbours and their distance in Å.
Fractional positions:
Ni (0.0000, 0.0000, 0.5000)  4 Ir 2.54, 2 Ni 2.75
Ir (0.5000, 0.5000, 0.0000)  4 Ga 2.52, 4 Ni 2.54, 2 Ir 2.75
Ga (0.0000, 0.5000, 0.0000)  4 Ir 2.52, 2 Ga 2.75

SG = P2/m (10)
total energy = -5.9083 eV per atom
formation energy from the elements = -0.019 eV/atom